1.
# Ac12Tl2Sn5 (GGA-PBE, optimized geometry)
# Fermi-level density of states: 44.1 states/eV/cell
# Formation energy from the elements: -0.304 eV/atom
# Total moment: 0.05 μB/atom
# Crystal system: monoclinic
data_Ac12Tl2Sn5
_symmetry_space_group_name_H-M 'C 1 2/m 1'
_symmetry_Int_Tables_number 12
_symmetry_space_group_name_Hall '-C 2y'
_cell_length_a 19.296
_cell_length_b 8.007
_cell_length_c 10.830
_cell_angle_alpha 90.00
_cell_angle_beta 103.97
_cell_angle_gamma 90.00
loop_
_atom_site_label
_atom_site_fract_x
_atom_site_fract_y
_atom_site_fract_z
Ac1 0.008 0.000 0.285
Ac2 0.037 0.500 0.816
Ac3 0.149 0.254 0.567
Ac4 0.175 0.242 0.100
Tl1 0.000 0.191 0.000
Sn1 0.000 0.500 0.500
Sn2 0.175 0.000 0.829
Sn3 0.201 0.000 0.361

***

2.
# Ac2Tl8Sn (GGA-PBE, optimized geometry)
# Fermi-level density of states: 4.2 states/eV/cell
# Formation energy from the elements: -0.188 eV/atom
# Total moment: 0.00 μB/atom
# Crystal system: tetragonal
data_Ac2Tl8Sn
_symmetry_space_group_name_H-M 'P 4/m m m'
_symmetry_Int_Tables_number 123
_symmetry_space_group_name_Hall '-P 4 2'
_cell_length_a 5.208
_cell_length_b 5.208
_cell_length_c 12.995
_cell_angle_alpha 90.00
_cell_angle_beta 90.00
_cell_angle_gamma 90.00
loop_
_atom_site_label
_atom_site_fract_x
_atom_site_fract_y
_atom_site_fract_z
Ac1 0.000 0.000 0.185
Tl1 0.000 0.500 0.000
Tl2 0.000 0.500 0.364
Tl3 0.500 0.500 0.175
Sn1 0.000 0.000 0.500

***

3.
# Ac2TlSn (GGA-PBE, optimized geometry)
# Fermi-level density of states: 7.1 states/eV/cell
# Formation energy from the elements: -0.553 eV/atom
# Total moment: 0.11 μB/atom
# Crystal system: orthorhombic
data_Ac2TlSn
_symmetry_space_group_name_H-M 'A m m 2'
_symmetry_Int_Tables_number 38
_symmetry_space_group_name_Hall 'A 2 -2'
_cell_length_a 4.661
_cell_length_b 4.984
_cell_length_c 12.496
_cell_angle_alpha 90.00
_cell_angle_beta 90.00
_cell_angle_gamma 90.00
loop_
_atom_site_label
_atom_site_fract_x
_atom_site_fract_y
_atom_site_fract_z
Ac1 0.000 0.000 0.000
Ac2 0.500 0.000 0.277
Tl1 0.000 0.000 0.722
Sn1 0.500 0.000 0.558

***

4.
# Ac8Tl3Sn2 (GGA-PBE, optimized geometry)
# Fermi-level density of states: 33.4 states/eV/cell
# Formation energy from the elements: -0.298 eV/atom
# Total moment: 0.00 μB/atom
# Crystal system: orthorhombic
data_Ac8Tl3Sn2
_symmetry_space_group_name_H-M 'C m m m'
_symmetry_Int_Tables_number 65
_symmetry_space_group_name_Hall '-C 2 2'
_cell_length_a 11.342
_cell_length_b 16.386
_cell_length_c 5.632
_cell_angle_alpha 90.00
_cell_angle_beta 90.00
_cell_angle_gamma 90.00
loop_
_atom_site_label
_atom_site_fract_x
_atom_site_fract_y
_atom_site_fract_z
Ac1 0.000 0.121 0.000
Ac2 0.000 0.368 0.000
Ac3 0.249 0.127 0.500
Tl1 0.000 0.500 0.500
Tl2 0.248 0.500 0.000
Sn1 0.000 0.243 0.500

***

5.
# Ac5Tl6Sn (GGA-PBE, optimized geometry)
# Fermi-level density of states: 21.4 states/eV/cell
# Formation energy from the elements: -0.332 eV/atom
# Total moment: 0.00 μB/atom
# Crystal system: monoclinic
data_Ac5Tl6Sn
_symmetry_space_group_name_H-M 'C 1 2/m 1'
_symmetry_Int_Tables_number 12
_symmetry_space_group_name_Hall '-C 2y'
_cell_length_a 17.277
_cell_length_b 9.386
_cell_length_c 5.308
_cell_angle_alpha 90.00
_cell_angle_beta 107.75
_cell_angle_gamma 90.00
loop_
_atom_site_label
_atom_site_fract_x
_atom_site_fract_y
_atom_site_fract_z
Ac1 0.000 0.000 0.000
Ac2 0.139 0.500 0.639
Ac3 0.177 0.000 0.677
Tl1 0.000 0.231 0.500
Tl2 0.167 0.246 0.167
Sn1 0.000 0.500 0.000

***

6.
# Ac6TlSn3 (GGA-PBE, optimized geometry)
# Fermi-level density of states: 45.2 states/eV/cell
# Formation energy from the elements: -0.376 eV/atom
# Total moment: 0.00 μB/atom
# Crystal system: orthorhombic
data_Ac6TlSn3
_symmetry_space_group_name_H-M 'C m c 21'
_symmetry_Int_Tables_number 36
_symmetry_space_group_name_Hall 'C 2c -2'
_cell_length_a 12.441
_cell_length_b 16.500
_cell_length_c 8.098
_cell_angle_alpha 90.00
_cell_angle_beta 90.00
_cell_angle_gamma 90.00
loop_
_atom_site_label
_atom_site_fract_x
_atom_site_fract_y
_atom_site_fract_z
Ac1 0.000 0.016 0.000
Ac2 0.000 0.258 0.119
Ac3 0.187 0.279 0.527
Ac4 0.188 0.458 0.130
Tl1 0.000 0.167 0.725
Sn1 0.000 0.422 0.420
Sn2 0.169 0.110 0.289

***

7.
# Ac5TlSn3 (GGA-PBE, optimized geometry)
# Fermi-level density of states: 23.6 states/eV/cell
# Formation energy from the elements: -0.559 eV/atom
# Total moment: 0.01 μB/atom
# Crystal system: hexagonal
data_Ac5TlSn3
_symmetry_space_group_name_H-M 'P 63/m c m'
_symmetry_Int_Tables_number 193
_symmetry_space_group_name_Hall '-P 6c 2'
_cell_length_a 10.2085
_cell_length_b 10.2085
_cell_length_c 7.2227
_cell_angle_alpha 90.00
_cell_angle_beta 90.00
_cell_angle_gamma 120.00
loop_
_atom_site_label
_atom_site_fract_x
_atom_site_fract_y
_atom_site_fract_z
Ac1 0.0000 0.2805 0.2500
Ac2 0.3333 0.6667 0.0000
Tl1 0.0000 0.0000 0.0000
Sn1 0.0000 0.3761 0.7500

***

8.
# Ac2Tl3Sn (GGA-PBE, optimized geometry)
# Fermi-level density of states: 3.0 states/eV/cell
# Formation energy from the elements: -0.341 eV/atom
# Total moment: 0.00 μB/atom
# Crystal system: orthorhombic
data_Ac2Tl3Sn
_symmetry_space_group_name_H-M 'P m m 2'
_symmetry_Int_Tables_number 25
_symmetry_space_group_name_Hall 'P 2 -2'
_cell_length_a 3.851
_cell_length_b 5.389
_cell_length_c 9.330
_cell_angle_alpha 90.00
_cell_angle_beta 90.00
_cell_angle_gamma 90.00
loop_
_atom_site_label
_atom_site_fract_x
_atom_site_fract_y
_atom_site_fract_z
Ac1 0.000 0.000 0.000
Ac2 0.000 0.500 0.491
Tl1 0.500 0.000 0.662
Tl2 0.500 0.500 0.160
Tl3 0.500 0.500 0.827
Sn1 0.500 0.000 0.329

***

9.
# Ac5TlSn2 (GGA-PBE, optimized geometry)
# Fermi-level density of states: 27.8 states/eV/cell
# ΔE to the lowest computed polymorph: 0.00 eV/f.u.
# Formation energy from the elements: -0.492 eV/atom
# Total moment: 0.00 μB/atom
# Crystal system: tetragonal
data_Ac5TlSn2
_symmetry_space_group_name_H-M 'I 4/m c m'
_symmetry_Int_Tables_number 140
_symmetry_space_group_name_Hall '-I 4 2c'
_cell_length_a 8.814
_cell_length_b 8.814
_cell_length_c 15.673
_cell_angle_alpha 90.00
_cell_angle_beta 90.00
_cell_angle_gamma 90.00
loop_
_atom_site_label
_atom_site_fract_x
_atom_site_fract_y
_atom_site_fract_z
Ac1 0.000 0.000 0.000
Ac2 0.169 0.331 0.147
Tl1 0.000 0.000 0.250
Sn1 0.129 0.371 0.500

***

10.
# Ac6Tl2Sn3 (GGA-PBE, optimized geometry)
# Fermi-level density of states: 23.3 states/eV/cell
# Formation energy from the elements: -0.140 eV/atom
# Total moment: 0.00 μB/atom
# Crystal system: tetragonal
data_Ac6Tl2Sn3
_symmetry_space_group_name_H-M 'I 4/m m m'
_symmetry_Int_Tables_number 139
_symmetry_space_group_name_Hall '-I 4 2'
_cell_length_a 6.469
_cell_length_b 6.469
_cell_length_c 22.059
_cell_angle_alpha 90.00
_cell_angle_beta 90.00
_cell_angle_gamma 90.00
loop_
_atom_site_label
_atom_site_fract_x
_atom_site_fract_y
_atom_site_fract_z
Ac1 0.000 0.000 0.215
Ac2 0.000 0.500 0.089
Tl1 0.000 0.000 0.066
Sn1 0.000 0.000 0.360
Sn2 0.000 0.000 0.500

***

> total moment of number 2 (Ac2Tl8Sn)?

0.00 μB/atom

***

> total moment of number 6 (Ac6TlSn3)?

0.00 μB/atom

***

> What is the formula in the tenth record?

Ac6Tl2Sn3

***

> Number 10 is which compound?

Ac6Tl2Sn3